Entry 1:
This record from Alexandria describes ThCoAs2 after structural relaxation. The functional is GGA-PBE.

abc: 7.925 7.925 7.925
angles: 32.67 32.67 32.67
Positions (direct):
Th 0.000 0.000 0.000
Co 0.500 0.500 0.500
As 0.399 0.399 0.399
As 0.601 0.601 0.601

Summary:
* spin magnetization: 2.91 μB per cell
* calculated formation energy: 53 meV per atom
* calculated volume: 129.03 Å³ per cell


Entry 2:
This record from Alexandria describes Th2Co3As3 after structural relaxation. The functional is GGA-PBE.

abc: 4.002 4.002 10.666
angles: 100.74 100.74 59.95
Positions (direct):
Th 0.242 0.242 0.225
Th 0.758 0.758 0.775
Co 0.000 0.000 0.500
Co 0.146 0.146 0.938
Co 0.854 0.854 0.062
As 0.363 0.363 0.590
As 0.500 0.500 0.000
As 0.637 0.637 0.410

Summary:
* spin magnetization: 0.00 μB per cell
* calculated formation energy: -618 meV per atom
* calculated volume: 144.44 Å³ per cell


Entry 3:
This record from Alexandria describes ThCoAs2 after structural relaxation. The functional is GGA-PBE.

abc: 5.573 5.573 5.573
angles: 137.04 137.04 62.37
Positions (direct):
Th 0.000 0.000 0.000
Co 0.250 0.750 0.500
As 0.359 0.359 0.000
As 0.641 0.641 0.000

Summary:
* spin magnetization: 0.01 μB per cell
* calculated formation energy: -865 meV per atom
* calculated volume: 79.42 Å³ per cell


Entry 4:
This record from Alexandria describes ThCo3As2 after structural relaxation. The functional is GGA-PBE.

abc: 8.076 8.076 9.485
angles: 106.74 106.74 27.93
Positions (direct):
Th 0.000 0.000 0.000
Th 0.156 0.156 0.697
Th 0.844 0.844 0.303
Co 0.048 0.048 0.339
Co 0.217 0.217 0.390
Co 0.323 0.323 0.036
Co 0.376 0.376 0.798
Co 0.500 0.500 0.500
Co 0.624 0.624 0.202
Co 0.677 0.677 0.964
Co 0.783 0.783 0.610
Co 0.952 0.952 0.661
As 0.199 0.199 0.127
As 0.359 0.359 0.550
As 0.468 0.468 0.225
As 0.532 0.532 0.775
As 0.641 0.641 0.450
As 0.801 0.801 0.873

Summary:
* spin magnetization: 2.19 μB per cell
* calculated formation energy: -620 meV per atom
* calculated volume: 276.73 Å³ per cell


Repeat the first record exactly.
This record from Alexandria describes ThCoAs2 after structural relaxation. The functional is GGA-PBE.

abc: 7.925 7.925 7.925
angles: 32.67 32.67 32.67
Positions (direct):
Th 0.000 0.000 0.000
Co 0.500 0.500 0.500
As 0.399 0.399 0.399
As 0.601 0.601 0.601

Summary:
* spin magnetization: 2.91 μB per cell
* calculated formation energy: 53 meV per atom
* calculated volume: 129.03 Å³ per cell